1.
The following is a GGA-PBE calculation of an optimized crystal structure of Cd2CoAg, from Alexandria via LeMat-Bulk.

Cell lengths 9.9516, 9.9516, 9.9516 Å; angles 16.83, 16.83, 16.83 degrees
Sites, in units of the cell vectors:
Cd 0.0000 0.0000 0.0000
Cd 0.2350 0.2350 0.2350
Co 0.7417 0.7417 0.7417
Ag 0.4814 0.4814 0.4814

Crystal system ... trigonal
DFT formation energy ... 1.04 eV/f.u.
Space group ... No. 160
V ... 72 Å³ per cell
Raw total energy ... -10.74 eV for the cell shown


2.
The following is a GGA-PBE calculation of an optimized crystal structure of MgReHg, from Alexandria via LeMat-Bulk.

Cell lengths 2.7515, 4.8589, 4.9751 Å; angles 90.00, 90.00, 90.00 degrees
Sites, in units of the cell vectors:
Mg 0.0000 0.0000 0.0000
Re 0.5000 0.5000 0.0000
Hg 0.0000 0.5000 0.5000

Crystal system ... orthorhombic
DFT formation energy ... 1.75 eV/f.u.
Space group ... No. 47
Distance to the lowest polymorph of the same formula ... 0.552 eV per atom
V ... 67 Å³ per cell
Raw total energy ... -12.59 eV for the cell shown


3.
The following is a GGA-PBE calculation of an optimized crystal structure of LiZnSi2, from Alexandria via LeMat-Bulk.

Cell lengths 4.8014, 4.8014, 4.8014 Å; angles 133.17, 133.01, 68.52 degrees
Sites, in units of the cell vectors:
Li 0.0000 0.0000 0.0000
Zn 0.7494 0.2494 0.5000
Si 0.2504 0.7504 0.5000
Si 0.4990 0.4990 0.0000

Crystal system ... orthorhombic
Space group ... No. 44
V ... 58 Å³ per cell
Formation energy (no corrections) ... 0.090 eV/atom
Raw total energy ... -13.67 eV for the cell shown


4.
The following is a GGA-PBE calculation of an optimized crystal structure of CeNp2Se4, from Alexandria via LeMat-Bulk.

Cell lengths 7.5951, 7.5951, 7.5951 Å; angles 109.41, 109.41, 109.59 degrees
Sites, in units of the cell vectors:
Ce 0.0000 0.0000 0.0000
Ce 0.7500 0.2500 0.5000
Np 0.2487 0.1250 0.6237
Np 0.3750 0.7513 0.8763
Np 0.5013 0.6250 0.3763
Np 0.8750 0.4987 0.1237
Se 0.1291 0.3800 0.4041
Se 0.1300 0.3791 0.9041
Se 0.2749 0.8709 0.2509
Se 0.4751 0.2259 0.0959
Se 0.6200 0.0241 0.7491
Se 0.6209 0.5249 0.7509
Se 0.7741 0.8700 0.2491
Se 0.9759 0.7251 0.5959

Crystal system ... tetragonal
Space group ... No. 122
Distance to the lowest polymorph of the same formula ... 0.000 eV per atom
V ... 337 Å³ per cell
Formation energy (no corrections) ... -1.403 eV/atom
Raw total energy ... -111.14 eV for the cell shown


5.
The following is a GGA-PBE calculation of an optimized crystal structure of NaCaBi4, from Alexandria via LeMat-Bulk.

Cell lengths 6.6686, 6.6686, 6.6686 Å; angles 60.00, 60.00, 60.00 degrees
Sites, in units of the cell vectors:
Na 0.0000 0.0000 0.0000
Ca 0.7500 0.7500 0.7500
Bi 0.3748 0.3748 0.3748
Bi 0.3748 0.3748 0.8755
Bi 0.3748 0.8755 0.3748
Bi 0.8755 0.3748 0.3748

Crystal system ... cubic
DFT formation energy ... -1.02 eV/f.u.
Space group ... No. 216
Distance to the lowest polymorph of the same formula ... 0.151 eV per atom
V ... 210 Å³ per cell
Raw total energy ... -19.86 eV for the cell shown


6.
The following is a GGA-PBE calculation of an optimized crystal structure of AcTmGaRh, from Alexandria via LeMat-Bulk.

Cell lengths 5.1703, 5.1703, 5.1703 Å; angles 60.00, 60.00, 60.00 degrees
Sites, in units of the cell vectors:
Ac 0.0000 0.0000 0.0000
Tm 0.5000 0.5000 0.5000
Ga 0.2500 0.2500 0.2500
Rh 0.7500 0.7500 0.7500

Crystal system ... cubic
DFT formation energy ... -1.96 eV/f.u.
Space group ... No. 216
V ... 98 Å³ per cell
Raw total energy ... -20.92 eV for the cell shown


7.
The following is a GGA-PBE calculation of an optimized crystal structure of Li5MgAg3, from Alexandria via LeMat-Bulk.

Cell lengths 8.0028, 8.0028, 5.6350 Å; angles 90.00, 90.00, 120.00 degrees
Sites, in units of the cell vectors:
Li 0.0000 0.3384 0.2500
Li 0.0000 0.6616 0.7500
Li 0.3333 0.6667 0.0000
Li 0.3333 0.6667 0.5000
Li 0.3384 0.0000 0.2500
Li 0.3384 0.3384 0.7500
Li 0.6616 0.0000 0.7500
Li 0.6616 0.6616 0.2500
Li 0.6667 0.3333 0.0000
Li 0.6667 0.3333 0.5000
Mg 0.0000 0.0000 0.0000
Mg 0.0000 0.0000 0.5000
Ag 0.0000 0.3297 0.7500
Ag 0.0000 0.6703 0.2500
Ag 0.3297 0.0000 0.7500
Ag 0.3297 0.3297 0.2500
Ag 0.6703 0.0000 0.2500
Ag 0.6703 0.6703 0.7500

Crystal system ... hexagonal
DFT formation energy ... -1.40 eV/f.u.
Space group ... No. 193
V ... 313 Å³ per cell
Raw total energy ... -42.24 eV for the cell shown


8.
The following is a GGA-PBE calculation of an optimized crystal structure of K4Ag2O, from Alexandria via LeMat-Bulk.

Cell lengths 7.2389, 7.2389, 7.2389 Å; angles 110.19, 110.19, 108.05 degrees
Sites, in units of the cell vectors:
K 0.2062 0.7823 0.0000
K 0.2177 0.2177 0.4238
K 0.7823 0.2062 0.0000
K 0.7938 0.7938 0.5762
Ag 0.2500 0.7500 0.5000
Ag 0.7500 0.2500 0.5000
O 0.0000 0.0000 0.0000

Crystal system ... tetragonal
Space group ... No. 121
Distance to the lowest polymorph of the same formula ... 0.111 eV per atom
V ... 292 Å³ per cell
Formation energy (no corrections) ... -0.289 eV/atom
Raw total energy ... -17.07 eV for the cell shown


9.
The following is a GGA-PBE calculation of an optimized crystal structure of BeCu2, from Alexandria via LeMat-Bulk.

Cell lengths 7.1271, 7.1271, 7.1271 Å; angles 60.00, 60.00, 60.00 degrees
Sites, in units of the cell vectors:
Be 0.1414 0.7862 0.7862
Be 0.2138 0.2138 0.2138
Be 0.2138 0.2138 0.8586
Be 0.2138 0.8586 0.2138
Be 0.7862 0.1414 0.7862
Be 0.7862 0.7862 0.1414
Be 0.7862 0.7862 0.7862
Be 0.8586 0.2138 0.2138
Cu 0.0000 0.0000 0.0000
Cu 0.0000 0.0000 0.5000
Cu 0.0000 0.5000 0.0000
Cu 0.1840 0.1840 0.5660
Cu 0.1840 0.5660 0.1840
Cu 0.1840 0.5660 0.5660
Cu 0.4340 0.4340 0.8160
Cu 0.4340 0.8160 0.4340
Cu 0.4340 0.8160 0.8160
Cu 0.5000 0.0000 0.0000
Cu 0.5660 0.1840 0.1840
Cu 0.5660 0.1840 0.5660
Cu 0.5660 0.5660 0.1840
Cu 0.8160 0.4340 0.4340
Cu 0.8160 0.4340 0.8160
Cu 0.8160 0.8160 0.4340

Crystal system ... cubic
DFT formation energy ... -0.02 eV/f.u.
Space group ... No. 227
V ... 256 Å³ per cell
Raw total energy ... -95.47 eV for the cell shown


10.
The following is a GGA-PBE calculation of an optimized crystal structure of Ag2GePb, from Alexandria via LeMat-Bulk.

Cell lengths 3.3405, 3.3405, 7.7062 Å; angles 90.00, 90.00, 90.00 degrees
Sites, in units of the cell vectors:
Ag 0.0000 0.0000 0.2088
Ag 0.0000 0.0000 0.7912
Ge 0.5000 0.5000 0.0000
Pb 0.5000 0.5000 0.5000

Crystal system ... tetragonal
DFT formation energy ... 0.65 eV/f.u.
Space group ... No. 123
Distance to the lowest polymorph of the same formula ... 0.000 eV per atom
V ... 86 Å³ per cell
Raw total energy ... -13.38 eV for the cell shown


11.
The following is a GGA-PBE calculation of an optimized crystal structure of LiAcGdSi, from Alexandria via LeMat-Bulk.

Cell lengths 5.2761, 5.2761, 5.2761 Å; angles 60.00, 60.00, 60.00 degrees
Sites, in units of the cell vectors:
Li 0.0000 0.0000 0.0000
Ac 0.7500 0.7500 0.7500
Gd 0.2500 0.2500 0.2500
Si 0.5000 0.5000 0.5000

Crystal system ... cubic
Space group ... No. 216
V ... 104 Å³ per cell
Formation energy (no corrections) ... -0.232 eV/atom
Raw total energy ... -26.45 eV for the cell shown


12.
The following is a GGA-PBE calculation of an optimized crystal structure of GaPtBr3, from Alexandria via LeMat-Bulk.

Cell lengths 5.1986, 5.1986, 5.1986 Å; angles 90.00, 90.00, 90.00 degrees
Sites, in units of the cell vectors:
Ga 0.0000 0.0000 0.0000
Pt 0.5000 0.5000 0.5000
Br 0.0000 0.5000 0.5000
Br 0.5000 0.0000 0.5000
Br 0.5000 0.5000 0.0000

Crystal system ... cubic
Space group ... No. 221
Distance to the lowest polymorph of the same formula ... 0.000 eV per atom
V ... 140 Å³ per cell
Formation energy (no corrections) ... -0.194 eV/atom
Raw total energy ... -15.06 eV for the cell shown